# 1
The following is a DFT calculation (meta-GGA SCAN) of a PBEsol-optimized structure of Sr2BeAs2.

Lattice parameters (Å, degrees): 4.589 7.137 7.137 90.00 90.00 90.00
Fractional coordinates of all 10 atoms:
Be  0.000  0.500  0.500
Sr  0.500  0.822  0.322
As  0.000  0.373  0.873
As  0.000  0.873  0.627
Sr  0.500  0.178  0.678
Sr  0.500  0.322  0.178
As  0.000  0.127  0.373
Sr  0.500  0.678  0.822
As  0.000  0.627  0.127
Be  0.000  0.000  0.000



# 2
The following is a DFT calculation (meta-GGA SCAN) of a PBEsol-optimized structure of KZnHg2Bi.

Lattice parameters (Å, degrees): 5.808 5.808 6.719 90.00 90.00 90.00
Fractional coordinates of all 5 atoms:
Hg  0.000  0.500  0.000
Bi  0.000  0.000  0.000
K  0.000  0.000  0.500
Zn  0.500  0.500  0.500
Hg  0.500  0.000  0.000



# 3
The following is a DFT calculation (meta-GGA SCAN) of a PBEsol-optimized structure of Sr2ZnPt.

Lattice parameters (Å, degrees): 4.385 4.450 6.061 111.54 90.00 90.00
Fractional coordinates of all 4 atoms:
Sr  0.000  0.110  0.219
Zn  0.000  0.807  0.613
Sr  0.500  0.393  0.786
Pt  0.500  0.691  0.383



# 4
The following is a DFT calculation (meta-GGA SCAN) of a PBEsol-optimized structure of Ag5Pt3.

Lattice parameters (Å, degrees): 2.794 2.794 16.245 90.00 90.00 90.00
Fractional coordinates of all 8 atoms:
Ag  0.000  0.000  0.256
Pt  0.500  0.500  0.382
Pt  0.500  0.500  0.618
Ag  0.000  0.000  0.000
Ag  0.500  0.500  0.872
Ag  0.000  0.000  0.744
Pt  0.000  0.000  0.500
Ag  0.500  0.500  0.128

Energy above the lowest structure with this stoichiometry, meV/atom: 36.5



# 5
The following is a DFT calculation (meta-GGA SCAN) of a PBEsol-optimized structure of LiMg3Ti.

Lattice parameters (Å, degrees): 4.631 4.631 4.631 90.00 90.00 90.00
Fractional coordinates of all 5 atoms:
Li  0.000  0.000  0.000
Ti  0.500  0.500  0.500
Mg  0.000  0.500  0.000
Mg  0.500  0.000  0.000
Mg  0.000  0.000  0.500



# 6
The following is a DFT calculation (meta-GGA SCAN) of a PBEsol-optimized structure of TaTiMoPt2.

Lattice parameters (Å, degrees): 4.502 4.502 4.613 90.00 90.00 90.00
Fractional coordinates of all 5 atoms:
Ta  0.000  0.000  0.500
Ti  0.000  0.000  0.000
Mo  0.500  0.500  0.500
Pt  0.000  0.500  0.000
Pt  0.500  0.000  0.000



no.,energy relative to the elements (eV/atom)
1,-0.534
2,0.200
3,-0.692
4,0.018
5,0.526
6,1.088